[1]
# NaSrTl2

Crystalline NaSrTl2 at its relaxed geometry (PBE, Alexandria).

Calculated values
- total magnetic moment (μB/atom) = 0.000
- space group = R3m, No. 160
- energy of formation (eV/atom) = -0.103

Cell: 3.987 3.987 10.357 Å, 78.90 78.90 60.00°
Atoms (fractional coordinates):
Tl: 0.254 0.254 0.238
Sr: 0.500 0.500 0.501
Tl: 0.079 0.079 0.762
Na: 0.667 0.667 0.999

=====

[2]
# Na4SrTl5

Crystalline Na4SrTl5 at its relaxed geometry (PBE, Alexandria).

Calculated values
- total magnetic moment (μB/atom) = 0.000
- space group = P4/mmm, No. 123
- energy of formation (eV/atom) = -0.158

Cell: 3.976 3.976 18.731 Å, 90.00 90.00 90.00°
Atoms (fractional coordinates):
Na: 0.000 0.000 0.209
Sr: 0.000 0.000 0.000
Na: 0.000 0.000 0.403
Na: 0.000 0.000 0.791
Tl: 0.500 0.500 0.694
Na: 0.000 0.000 0.597
Tl: 0.500 0.500 0.306
Tl: 0.500 0.500 0.885
Tl: 0.500 0.500 0.115
Tl: 0.500 0.500 0.500

=====

| no. | calculated volume (A^3/atom) |
| --- | --- |
| 1 | 34.75 |
| 2 | 29.61 |